1.
La6ZnCu5 | PBE | relaxed

VASP energy: -4.4381 eV/atom
Space group: P2/m, No. 10
Calculated formation energy: -1.938 eV/f.u.
Crystal system: monoclinic
Theoretical density: 6778 kg/m3
Volume: 298.1 Å³/f.u.

Cell lengths 5.2104, 7.3033, 8.2477 Å; angles 90.00, 108.25, 90.00 degrees
Sites, in units of the cell vectors:
Zn (0.0000, 0.0000, 0.0000)
Cu (0.6654, 0.5000, 0.3325)
Cu (0.3424, 0.0000, 0.6840)
Cu (0.0000, 0.5000, 0.0000)
Cu (0.6576, 0.0000, 0.3160)
Cu (0.3346, 0.5000, 0.6675)
La (0.8304, 0.7496, 0.6600)
La (0.8304, 0.2504, 0.6600)
La (0.5000, 0.2589, 0.0000)
La (0.5000, 0.7411, 0.0000)
La (0.1696, 0.7496, 0.3400)
La (0.1696, 0.2504, 0.3400)



2.
Ac3PbF | PBE | relaxed

VASP energy: -4.6232 eV/atom
Space group: Pm-3m, No. 221
Formation energy from raw total energies: -1.042 eV/atom
Crystal system: cubic
Theoretical density: 9313 kg/m3
Volume: 161.7 Å³/f.u.

Cell lengths 5.4485, 5.4485, 5.4485 Å; angles 90.00, 90.00, 90.00 degrees
Sites, in units of the cell vectors:
Pb (0.5000, 0.5000, 0.5000)
Ac (0.0000, 0.5000, 0.0000)
Ac (0.0000, 0.0000, 0.5000)
Ac (0.5000, 0.0000, 0.0000)
F (0.0000, 0.0000, 0.0000)



3.
Ce5TlBi3 | PBE | relaxed

VASP energy: -5.4507 eV/atom
Space group: P6_3/mcm, No. 193
Calculated formation energy: -5.378 eV/f.u.
Crystal system: hexagonal
Theoretical density: 9430 kg/m3
Volume: 269.8 Å³/f.u.

Cell lengths 6.5631, 9.7430, 9.7428 Å; angles 120.00, 90.00, 90.00 degrees
Each line ends with the local moment (μB).
Sites, in units of the cell vectors:
Ce (0.0000, 0.6667, 0.3333)  1.10
Ce (0.5000, 0.3333, 0.6667)  1.10
Ce (0.0000, 0.3333, 0.6667)  1.10
Ce (0.5000, 0.6667, 0.3333)  1.10
Ce (0.7500, 0.7201, 0.7201)  0.78
Ce (0.7500, 0.0000, 0.2799)  0.78
Ce (0.7500, 0.2799, 0.0000)  0.78
Ce (0.2500, 0.2799, 0.2799)  0.78
Ce (0.2500, 0.0000, 0.7201)  0.78
Ce (0.2500, 0.7201, 0.0000)  0.78
Tl (0.0000, 0.0000, 0.0000)  0.00
Tl (0.5000, 0.0000, 0.0000)  0.00
Bi (0.7500, 0.3765, 0.3764)  -0.05
Bi (0.7500, 0.0000, 0.6236)  -0.05
Bi (0.7500, 0.6236, 0.0000)  -0.05
Bi (0.2500, 0.6235, 0.6236)  -0.05
Bi (0.2500, 0.0000, 0.3764)  -0.05
Bi (0.2500, 0.3764, 0.0000)  -0.05



4.
NaVRuRh2 | PBE | relaxed

VASP energy: -5.0116 eV/atom
Space group: P4/mmm, No. 123
Calculated formation energy: 9.358 eV/f.u.
Crystal system: tetragonal
Theoretical density: 7558 kg/m3
Volume: 83.7 Å³/f.u.

Cell lengths 4.3449, 4.4320, 4.3449 Å; angles 90.00, 90.00, 90.00 degrees
Sites, in units of the cell vectors:
Na (0.0000, 0.0000, 0.0000)
Ru (0.0000, 0.5000, 0.0000)
Rh (0.0000, 0.0000, 0.5000)
Rh (0.5000, 0.0000, 0.0000)
V (0.5000, 0.5000, 0.5000)



Which value of VASP energy does entry 4 give?
-5.0116 eV/atom



The highest volume belongs to which entry?
La6ZnCu5



Look up the volume of the second one.
161.7 Å³/f.u.



Which of these has the highest VASP energy?
La6ZnCu5